[1]
Compound: K3RbAu
Source: the Alexandria database
Functional: GGA-PBE
Structure: optimized geometry

The structure in POSCAR format:
```
K3RbAu
1.0
-3.417 6.296 3.895
-5.495 3.586 -4.839
-6.902 -5.893 3.471
K Rb Au
6 2 2
Direct
0.038 0.240 0.552 K
0.523 0.725 0.052 K
0.538 0.225 0.802 K
0.538 0.225 0.302 K
0.023 0.741 0.302 K
0.023 0.741 0.802 K
0.031 0.234 0.052 Rb
0.529 0.732 0.552 Rb
0.790 0.993 0.552 Au
0.770 0.973 0.052 Au
```

## Properties
Calculated volume   60.78 A^3/atom
Formation energy from the elements   -0.121 eV per atom
E above lowest polymorph   12 meV per atom
Crystal system   orthorhombic

[2]
Compound: YCdAs3
Source: the Alexandria database
Functional: GGA-PBE
Structure: optimized geometry

The structure in POSCAR format:
```
YCdAs3
1.0
-4.565 2.250 0.195
-0.510 -0.599 -5.032
-2.200 -4.530 0.763
Y As Cd
1 3 1
Direct
0.500 0.500 0.500 Y
0.000 0.500 0.000 As
0.000 0.000 0.500 As
0.500 0.000 0.000 As
0.000 0.000 0.000 Cd
```

## Properties
Calculated volume   26.43 A^3/atom
Formation energy from the elements   0.318 eV per atom
E above lowest polymorph   0 meV per atom
Crystal system   cubic

[3]
Compound: Y2TmCd3
Source: the Alexandria database
Functional: GGA-PBE
Structure: optimized geometry

The structure in POSCAR format:
```
Y2TmCd3
1.0
3.732 0.000 0.000
0.000 3.732 0.000
0.000 0.000 11.203
Y Tm Cd
2 1 3
Direct
0.500 0.500 0.832 Y
0.500 0.500 0.168 Y
0.500 0.500 0.500 Tm
0.000 0.000 0.000 Cd
0.000 0.000 0.662 Cd
0.000 0.000 0.338 Cd
```

## Properties
Calculated volume   26.01 A^3/atom
Formation energy from the elements   -0.341 eV per atom
Crystal system   tetragonal

[4]
Compound: PrCd4Hg7
Source: the Alexandria database
Functional: GGA-PBE
Structure: optimized geometry

The structure in POSCAR format:
```
PrCd4Hg7
1.0
-3.399 -3.851 3.565
3.699 -7.980 0.390
2.171 -0.868 6.615
Pr Cd Hg
1 4 7
Direct
0.000 0.000 0.000 Pr
0.501 0.325 0.673 Cd
0.499 0.675 0.327 Cd
0.746 0.673 0.835 Cd
0.254 0.327 0.165 Cd
0.748 0.995 0.510 Hg
0.252 0.005 0.490 Hg
0.005 0.656 0.335 Hg
0.995 0.344 0.665 Hg
0.265 0.651 0.818 Hg
0.500 0.000 0.000 Hg
0.735 0.349 0.182 Hg
```

## Properties
Calculated volume   26.63 A^3/atom
Formation energy from the elements   -0.044 eV per atom
E above lowest polymorph   70 meV per atom
Crystal system   monoclinic